Material: KTe3Au3
Method: DFT, PBE-GGA
State: relaxed

Structure (POSCAR):
```
KTe3Au3
1.0
7.772 0.000 0.000
0.000 7.772 0.000
0.000 0.000 7.772
K Te Au
2 6 6
Direct
0.000 0.000 0.000
0.500 0.500 0.500
0.000 0.250 0.500
0.000 0.750 0.500
0.250 0.500 0.000
0.500 0.000 0.250
0.500 0.000 0.750
0.750 0.500 0.000
0.000 0.500 0.250
0.000 0.500 0.750
0.250 0.000 0.500
0.500 0.250 0.000
0.500 0.750 0.000
0.750 0.000 0.500
```

The calculation puts the magnetization at 0.0 μB/cell. The value obtained for the uncorrected formation energy is -0.2812 eV per atom. Its calculated density is 7.16 g/cm3. The value obtained for the offset from the most stable computed form is 0 meV/atom. The calculation puts the electronic total energy at -44.646 eV per cell. As for the space group: Pm-3n.

***

Material: K2Te5Au
Method: DFT, PBE-GGA
State: relaxed

Structure (POSCAR):
```
K2Te5Au
1.0
-3.306 4.551 5.128
3.306 -4.551 5.128
3.306 4.551 -5.128
K Te Au
2 5 1
Direct
0.000 0.000 0.000
0.496 0.496 0.000
0.000 0.498 0.013
0.000 0.987 0.502
0.485 0.498 0.498
0.485 0.987 0.987
0.832 0.332 0.500
0.281 0.781 0.500
```

The calculation puts the magnetization at 0.0 μB/cell. The value obtained for the uncorrected formation energy is -0.3928 eV per atom. Its calculated density is 4.91 g/cm3. The calculation puts the electronic total energy at -24.323 eV per cell. As for the space group: Imm2.

***

Material: KTe8Au6
Method: DFT, PBE-GGA
State: relaxed

Structure (POSCAR):
```
KTe8Au6
1.0
5.533 3.194 4.565
-5.533 3.194 4.565
0.000 -6.388 4.565
K Te Au
1 8 6
Direct
0.000 0.000 0.000
0.193 0.734 0.337
0.260 0.260 0.260
0.266 0.663 0.807
0.337 0.193 0.734
0.663 0.807 0.266
0.734 0.337 0.193
0.740 0.740 0.740
0.807 0.266 0.663
0.174 0.444 0.549
0.444 0.549 0.174
0.451 0.826 0.556
0.549 0.174 0.444
0.556 0.451 0.826
0.826 0.556 0.451
```

The calculation puts the magnetization at 0.0 μB/cell. The value obtained for the uncorrected formation energy is -0.0486 eV per atom. Its calculated density is 7.69 g/cm3. The calculation puts the electronic total energy at -46.625 eV per cell. As for the space group: R-3.

***

Material: K2TeAu
Method: DFT, PBE-GGA
State: relaxed

Structure (POSCAR):
```
K2TeAu
1.0
5.676 -2.909 0.000
5.676 2.909 0.000
-5.018 0.000 9.483
K Te Au
4 2 2
Direct
0.183 0.184 0.091
0.184 0.183 0.591
0.816 0.817 0.409
0.817 0.816 0.909
0.246 0.754 0.250
0.754 0.246 0.750
0.257 0.743 0.750
0.743 0.257 0.250
```

The calculation puts the magnetization at 0.0 μB/cell. The value obtained for the uncorrected formation energy is -0.6413 eV per atom. Its calculated density is 4.27 g/cm3. The calculation puts the electronic total energy at -22.359 eV per cell. As for the space group: C2/c.

***

Material: K12TeAu6
Method: DFT, PBE-GGA
State: relaxed

Structure (POSCAR):
```
K12TeAu6
1.0
-5.763 5.763 5.763
5.763 -5.763 5.763
5.763 5.763 -5.763
K Te Au
12 1 6
Direct
0.120 0.298 0.823
0.177 0.475 0.298
0.177 0.880 0.702
0.298 0.177 0.475
0.298 0.823 0.120
0.475 0.298 0.177
0.525 0.702 0.823
0.702 0.177 0.880
0.702 0.823 0.525
0.823 0.120 0.298
0.823 0.525 0.702
0.880 0.702 0.177
0.000 0.000 0.000
0.124 0.500 0.624
0.376 0.876 0.500
0.500 0.376 0.876
0.500 0.624 0.124
0.624 0.124 0.500
0.876 0.500 0.376
```

The calculation puts the magnetization at 1.7 μB/cell. The value obtained for the uncorrected formation energy is -0.3140 eV per atom. Its calculated density is 3.86 g/cm3. The calculation puts the electronic total energy at -41.942 eV per cell. As for the space group: Im-3.

***

Material: K2Te3Au
Method: DFT, PBE-GGA
State: relaxed

Structure (POSCAR):
```
K2Te3Au
1.0
7.803 0.000 0.000
-3.901 6.757 0.000
0.000 0.000 12.103
K Te Au
4 6 2
Direct
0.000 0.000 0.000
0.000 0.000 0.500
0.333 0.667 0.249
0.667 0.333 0.751
0.140 0.279 0.750
0.140 0.860 0.750
0.279 0.140 0.250
0.721 0.860 0.750
0.860 0.140 0.250
0.860 0.721 0.250
0.333 0.667 0.750
0.667 0.333 0.250
```

The calculation puts the magnetization at 0.0 μB/cell. The value obtained for the uncorrected formation energy is -0.4172 eV per atom. Its calculated density is 3.42 g/cm3. The calculation puts the electronic total energy at -34.802 eV per cell. As for the space group: P-3m1.

***

> The lowest electronic total energy belongs to which entry?

KTe8Au6

***

> Which of these has the lowest electronic total energy?

KTe8Au6

***

> Which of these has the highest calculated density?

KTe8Au6

***

Please write out number 2 again, unchanged.
Material: K2Te5Au
Method: DFT, PBE-GGA
State: relaxed

Structure (POSCAR):
```
K2Te5Au
1.0
-3.306 4.551 5.128
3.306 -4.551 5.128
3.306 4.551 -5.128
K Te Au
2 5 1
Direct
0.000 0.000 0.000
0.496 0.496 0.000
0.000 0.498 0.013
0.000 0.987 0.502
0.485 0.498 0.498
0.485 0.987 0.987
0.832 0.332 0.500
0.281 0.781 0.500
```

The calculation puts the magnetization at 0.0 μB/cell. The value obtained for the uncorrected formation energy is -0.3928 eV per atom. Its calculated density is 4.91 g/cm3. The calculation puts the electronic total energy at -24.323 eV per cell. As for the space group: Imm2.